This record from Alexandria via LeMat-Bulk describes a relaxed MnTc2Cl crystal. The functional is GGA-PBE.

Lattice parameters (Å, degrees): 8.538 8.538 8.538 19.53 19.53 19.53
Fractional positions:
Cl 0.494 0.494 0.494
Tc 0.254 0.254 0.254
Tc 0.000 0.000 0.000
Mn 0.753 0.753 0.753

Results
Uncorrected formation energy in meV per atom: 193
Energy above the lowest structure with this stoichiometry in meV/atom: 0.0
Volume in Å³/cell: 60.79
Crystal system: trigonal

---

This record from Alexandria via LeMat-Bulk describes a relaxed MnTc2Cl crystal. The functional is GGA-PBE.

Lattice parameters (Å, degrees): 2.961 2.961 7.311 90.00 90.00 90.00
Fractional positions:
Cl 0.000 0.000 0.501
Mn 0.500 0.500 0.763
Tc 0.000 0.000 0.018
Tc 0.500 0.500 0.218

Results
Uncorrected formation energy in meV per atom: 203
Energy above the lowest structure with this stoichiometry in meV/atom: 10.1
Volume in Å³/cell: 64.12
Crystal system: tetragonal

---

This record from Alexandria via LeMat-Bulk describes a relaxed MnTc2Cl crystal. The functional is GGA-PBE.

Lattice parameters (Å, degrees): 2.812 2.812 8.451 90.00 90.00 117.42
Fractional positions:
Tc 0.000 0.000 0.511
Tc 0.000 0.000 0.989
Cl 0.500 0.500 0.250
Mn 0.500 0.500 0.750

Results
Uncorrected formation energy in meV per atom: 540
Energy above the lowest structure with this stoichiometry in meV/atom: 346.5
Volume in Å³/cell: 59.30
Crystal system: orthorhombic

---

This record from Alexandria via LeMat-Bulk describes a relaxed Mn4TcCl crystal. The functional is GGA-PBE.

Lattice parameters (Å, degrees): 4.851 4.851 4.851 60.00 60.00 60.00
Fractional positions:
Mn 0.376 0.873 0.376
Mn 0.873 0.376 0.376
Mn 0.376 0.376 0.873
Mn 0.376 0.376 0.376
Cl 0.000 0.000 0.000
Tc 0.750 0.750 0.750

Results
Uncorrected formation energy in meV per atom: 779
Volume in Å³/cell: 80.70
Crystal system: cubic

---

This record from Alexandria via LeMat-Bulk describes a relaxed MnTc2Cl crystal. The functional is GGA-PBE.

Lattice parameters (Å, degrees): 2.945 2.945 6.557 90.00 90.00 90.00
Fractional positions:
Tc 0.000 0.000 0.973
Tc 0.000 0.000 0.527
Cl 0.500 0.500 0.250
Mn 0.500 0.500 0.750

Results
Uncorrected formation energy in meV per atom: 406
Energy above the lowest structure with this stoichiometry in meV/atom: 213.2
Volume in Å³/cell: 56.88
Crystal system: tetragonal

---

This record from Alexandria via LeMat-Bulk describes a relaxed MnTcCl3 crystal. The functional is GGA-PBE.

Lattice parameters (Å, degrees): 4.646 4.646 4.646 90.00 90.00 90.00
Fractional positions:
Mn 0.000 0.000 0.000
Cl 0.000 0.500 0.000
Cl 0.500 0.000 0.000
Cl 0.000 0.000 0.500
Tc 0.500 0.500 0.500

Results
Uncorrected formation energy in meV per atom: 577
Energy above the lowest structure with this stoichiometry in meV/atom: 389.9
Volume in Å³/cell: 100.28
Crystal system: cubic

---

This record from Alexandria via LeMat-Bulk describes a relaxed MnTc4Cl crystal. The functional is GGA-PBE.

Lattice parameters (Å, degrees): 5.179 5.179 5.179 60.00 60.00 60.00
Fractional positions:
Tc 0.376 0.376 0.376
Tc 0.376 0.873 0.376
Tc 0.376 0.376 0.873
Tc 0.873 0.376 0.376
Mn 0.000 0.000 0.000
Cl 0.750 0.750 0.750

Results
Uncorrected formation energy in meV per atom: 903
Volume in Å³/cell: 98.21
Crystal system: cubic

---

This record from Alexandria via LeMat-Bulk describes a relaxed MnTc2Cl crystal. The functional is GGA-PBE.

Lattice parameters (Å, degrees): 4.883 4.883 4.355 91.25 91.25 34.15
Fractional positions:
Mn 0.276 0.276 0.245
Cl 0.501 0.501 0.463
Tc 0.003 0.003 0.010
Tc 0.720 0.720 0.783

Results
Uncorrected formation energy in meV per atom: 568
Energy above the lowest structure with this stoichiometry in meV/atom: 375.3
Volume in Å³/cell: 58.30
Crystal system: monoclinic

---

What did the second record say?
This record from Alexandria via LeMat-Bulk describes a relaxed MnTc2Cl crystal. The functional is GGA-PBE.

Lattice parameters (Å, degrees): 2.961 2.961 7.311 90.00 90.00 90.00
Fractional positions:
Cl 0.000 0.000 0.501
Mn 0.500 0.500 0.763
Tc 0.000 0.000 0.018
Tc 0.500 0.500 0.218

Results
Uncorrected formation energy in meV per atom: 203
Energy above the lowest structure with this stoichiometry in meV/atom: 10.1
Volume in Å³/cell: 64.12
Crystal system: tetragonal

---

Q: Among the records above, which one has the lowest volume?
A: number 5